NaGa3Co | the Alexandria database | meta-GGA SCAN | PBEsol geometry; mass density = 5.22 g/cm3; calculated formation energy = -0.19 eV per atom; total energy = -71.52 eV/f.u.; V = 18.507 Å³/atom; SG = No. 221
1.0
4.5231 0.0000 0.0000
0.0000 4.5231 0.0000
0.0000 0.0000 4.5231
Ga Co Na
3 1 1
direct
0.0000 0.5000 0.0000
0.0000 0.0000 0.5000
0.5000 0.0000 0.0000
0.0000 0.0000 0.0000
0.5000 0.5000 0.5000